The following is a PBE-GGA calculation of an optimized crystal structure of LiZnAs2, from Alexandria.

Cell: 2.938 2.938 7.990 Å, 90.00 90.00 90.00°
Fractional positions:
Li 0.000 0.000 0.000
Zn 0.000 0.000 0.500
As 0.500 0.500 0.245
As 0.500 0.500 0.755

Summary:
Volume, Å³ per cell: 69.0
Density, g/cm3: 5.35
Energy of formation, eV per atom: -0.06
Raw total energy, eV for the cell shown: -12.74

---

The following is a PBE-GGA calculation of an optimized crystal structure of La2DyY3Se6, from Alexandria.

Cell: 9.308 9.308 8.395 Å, 103.43 103.43 25.64°
Fractional positions:
La 0.167 0.167 0.334
La 0.833 0.833 0.666
Dy 0.500 0.500 0.000
Y 0.170 0.170 0.834
Y 0.500 0.500 0.500
Y 0.830 0.830 0.166
Se 0.005 0.005 0.754
Se 0.335 0.335 0.930
Se 0.338 0.338 0.407
Se 0.662 0.662 0.593
Se 0.665 0.665 0.070
Se 0.995 0.995 0.246

Summary:
Volume, Å³ per cell: 305.7
Density, g/cm3: 6.41
Formation energy (no corrections), kJ/mol of formula units: -2129
Raw total energy, eV for the cell shown: -76.82

---

The following is a PBE-GGA calculation of an optimized crystal structure of Na2GaGe2, from Alexandria.

Cell: 8.787 8.787 2.994 Å, 90.00 90.00 90.00°
Fractional positions:
Na 0.193 0.307 0.000
Na 0.307 0.807 0.000
Na 0.693 0.193 0.000
Na 0.807 0.693 0.000
Ga 0.000 0.000 0.000
Ga 0.500 0.500 0.000
Ge 0.102 0.602 0.500
Ge 0.398 0.102 0.500
Ge 0.602 0.898 0.500
Ge 0.898 0.398 0.500

Summary:
ΔE to the lowest computed polymorph, eV per atom: 0.274
Volume, Å³ per cell: 231.2
Density, g/cm3: 3.75
Energy of formation, eV per atom: 0.14
Raw total energy, eV for the cell shown: -28.40

---

The following is a PBE-GGA calculation of an optimized crystal structure of Pr8Ge3SeBr4, from Alexandria.

Cell: 8.881 8.881 8.881 Å, 58.22 58.22 58.22°
Fractional positions:
Pr 0.231 0.740 0.740
Pr 0.238 0.238 0.238
Pr 0.260 0.260 0.769
Pr 0.260 0.769 0.260
Pr 0.740 0.231 0.740
Pr 0.740 0.740 0.231
Pr 0.762 0.762 0.762
Pr 0.769 0.260 0.260
Ge 0.000 0.000 0.500
Ge 0.000 0.500 0.000
Ge 0.500 0.000 0.000
Se 0.500 0.500 0.500
Br 0.000 0.000 0.000
Br 0.000 0.500 0.500
Br 0.500 0.000 0.500
Br 0.500 0.500 0.000

Summary:
Volume, Å³ per cell: 475.2
Density, g/cm3: 6.09
Formation energy (no corrections), kJ/mol of formula units: -1951
Raw total energy, eV for the cell shown: -82.48

---

The following is a PBE-GGA calculation of an optimized crystal structure of Nd2HoHf, from Alexandria.

Cell: 12.365 12.365 12.365 Å, 15.72 15.72 15.72°
Fractional positions:
Nd 0.085 0.085 0.085
Nd 0.915 0.915 0.915
Ho 0.500 0.500 0.500
Hf 0.000 0.000 0.000

Summary:
ΔE to the lowest computed polymorph, eV per atom: 0.211
Volume, Å³ per cell: 121.0
Density, g/cm3: 8.67
Energy of formation, eV per atom: 0.38
Raw total energy, eV for the cell shown: -22.55

---

Which formula does entry 5 have?
Nd2HoHf